Crystalline LiHfW2 at its relaxed geometry. Source: Alexandria, functional PBE-GGA.

POSCAR file:
```
LiHfW2
1.0
-3.6373 0.6672 2.6416
-1.9703 4.0921 0.1627
-4.0892 0.6294 -1.8803
Hf W Li
1 2 1
Cartesian
-4.8484 2.6944 0.4620
-2.4242 1.3472 0.2310
-7.2727 4.0415 0.6931
0.0000 0.0000 0.0000
```

Results
formation energy	0.740	eV per atom
magnetic moment	0.0	μB/cell
excess energy over the best structure of this formula in the dataset	0.0000	eV per atom